## UH6Pd3 (PBE)

Data for a geometry-optimized UH6Pd3 structure.

Computed properties:
E	-4.812	eV/atom
space-group type	P1, No. 1

Cell lengths 4.936, 4.936, 5.301 Å; angles 90.06, 117.64, 119.97 degrees
Element x y z (fractional)
U1 0.000 0.000 0.000
H1 0.009 0.143 0.530
H2 0.020 0.495 0.031
H3 0.385 0.864 0.531
H4 0.509 0.015 0.033
H5 0.536 0.525 0.031
H6 0.664 0.521 0.530
Pd1 0.484 0.241 0.726
Pd2 0.522 0.761 0.283
Pd3 0.932 0.465 0.399